(1)
! Sr2TmInAu6 PBE optimized geometry; values from VASP
! Total moment = 0.0 μB/f.u.
! Calculated volume = 31.0 A^3/atom
! Energy = -3.295 eV per atom
! Formation energy = -271 meV per atom
&SYSTEM
  ibrav = 0, nat = 10, ntyp = 4
/
ATOMIC_SPECIES
Au 196.97 Au.upf
Sr 87.62 Sr.upf
In 114.82 In.upf
Tm 168.93 Tm.upf
CELL_PARAMETERS angstrom
7.599 0.000 0.000
0.001 7.599 0.000
3.800 3.799 5.374
ATOMIC_POSITIONS crystal
Au 0.248 0.752 0.000
Au 0.752 0.752 0.496
Au 0.248 0.248 0.000
Au 0.752 0.752 0.000
Au 0.248 0.248 0.504
Au 0.752 0.248 0.000
Sr 0.750 0.250 0.500
Sr 0.250 0.750 0.500
In 0.000 0.000 0.000
Tm 0.500 0.500 0.000



(2)
! Sr2YInAu6 PBE optimized geometry; values from VASP
! Total moment = 0.0 μB/f.u.
! Calculated volume = 31.6 A^3/atom
! Energy = -3.468 eV per atom
! Formation energy = -245 meV per atom
&SYSTEM
  ibrav = 0, nat = 10, ntyp = 4
/
ATOMIC_SPECIES
Sr 87.62 Sr.upf
Au 196.97 Au.upf
Y 88.91 Y.upf
In 114.82 In.upf
CELL_PARAMETERS angstrom
-4.720 1.365 5.857
-5.474 -4.057 -3.466
-3.336 -5.825 3.658
ATOMIC_POSITIONS crystal
Sr 0.750 0.250 0.500
Sr 0.250 0.750 0.500
Au 0.246 0.246 0.000
Au 0.754 0.246 0.000
Au 0.246 0.754 0.000
Au 0.246 0.246 0.508
Au 0.754 0.754 0.000
Au 0.754 0.754 0.492
Y 0.500 0.500 0.000
In 0.000 0.000 0.000



(3)
! Sr2ZnInAu6 PBE optimized geometry; values from VASP
! Total moment = 0.0 μB/f.u.
! Calculated volume = 24.9 A^3/atom
! Energy = -3.165 eV per atom
! Formation energy = -461 meV per atom
&SYSTEM
  ibrav = 0, nat = 10, ntyp = 4
/
ATOMIC_SPECIES
Au 196.97 Au.upf
Zn 65.41 Zn.upf
Sr 87.62 Sr.upf
In 114.82 In.upf
CELL_PARAMETERS angstrom
9.320 -0.009 -0.120
0.006 5.526 0.019
4.760 2.742 4.779
ATOMIC_POSITIONS crystal
Au 0.255 0.745 0.010
Au 0.404 0.254 0.491
Au 0.255 0.246 0.009
Au 0.596 0.746 0.509
Au 0.745 0.255 0.990
Au 0.745 0.754 0.991
Zn 0.500 0.500 0.000
Sr 0.213 0.754 0.491
Sr 0.787 0.246 0.509
In 0.000 0.000 0.000



(4)
! Sr2ZnIn2Au4 PBE optimized geometry; values from VASP
! Total moment = 0.0 μB/f.u.
! Calculated volume = 24.6 A^3/atom
! Energy = -3.057 eV per atom
! Formation energy = -476 meV per atom
&SYSTEM
  ibrav = 0, nat = 9, ntyp = 4
/
ATOMIC_SPECIES
Sr 87.62 Sr.upf
Au 196.97 Au.upf
In 114.82 In.upf
Zn 65.41 Zn.upf
CELL_PARAMETERS angstrom
-4.730 -0.303 -4.697
3.695 -5.503 0.773
-2.169 0.453 6.294
ATOMIC_POSITIONS crystal
Sr 0.500 0.750 0.250
Sr 0.500 0.250 0.750
Au 0.000 0.260 0.740
Au 0.520 0.260 0.260
Au 0.000 0.740 0.260
Au 0.480 0.740 0.740
In 0.000 0.686 0.686
In 0.000 0.314 0.314
Zn 0.000 0.000 0.000



(5)
! SrZnIn2Au2 PBE optimized geometry; values from VASP
! Total moment = 0.0 μB/f.u.
! Calculated volume = 29.1 A^3/atom
! Energy = -2.708 eV per atom
! Formation energy = -210 meV per atom
&SYSTEM
  ibrav = 0, nat = 6, ntyp = 4
/
ATOMIC_SPECIES
Au 196.97 Au.upf
Zn 65.41 Zn.upf
Sr 87.62 Sr.upf
In 114.82 In.upf
CELL_PARAMETERS angstrom
5.510 0.000 0.000
0.000 5.510 0.000
-2.755 -2.755 5.745
ATOMIC_POSITIONS crystal
Au 0.217 0.217 0.434
Au 0.783 0.783 0.566
Zn 0.000 0.000 0.000
Sr 0.500 0.500 0.000
In 0.250 0.750 0.500
In 0.750 0.250 0.500



(6)
! Sr3Zn2InAu6 PBE optimized geometry; values from VASP
! Total moment = 0.0 μB/f.u.
! Calculated volume = 26.1 A^3/atom
! Energy = -2.937 eV per atom
! Formation energy = -438 meV per atom
&SYSTEM
  ibrav = 0, nat = 12, ntyp = 4
/
ATOMIC_SPECIES
Sr 87.62 Sr.upf
Au 196.97 Au.upf
Zn 65.41 Zn.upf
In 114.82 In.upf
CELL_PARAMETERS angstrom
6.493 0.000 0.000
-3.246 5.623 0.000
0.000 0.000 8.575
ATOMIC_POSITIONS crystal
Sr 0.667 0.333 0.365
Sr 0.000 0.000 0.000
Sr 0.333 0.667 0.635
Au 0.370 0.185 0.718
Au 0.185 0.815 0.282
Au 0.630 0.815 0.282
Au 0.815 0.185 0.718
Au 0.185 0.370 0.282
Au 0.815 0.630 0.718
Zn 0.333 0.667 0.034
Zn 0.667 0.333 0.966
In 0.000 0.000 0.500



(7)
! SrZnIn2Au5 PBE optimized geometry; values from VASP
! Total moment = 0.0 μB/f.u.
! Calculated volume = 24.2 A^3/atom
! Energy = -3.028 eV per atom
! Formation energy = -270 meV per atom
&SYSTEM
  ibrav = 0, nat = 9, ntyp = 4
/
ATOMIC_SPECIES
Au 196.97 Au.upf
In 114.82 In.upf
Sr 87.62 Sr.upf
Zn 65.41 Zn.upf
CELL_PARAMETERS angstrom
4.916 0.000 0.000
0.000 6.007 0.000
-2.458 -3.003 7.366
ATOMIC_POSITIONS crystal
Au 0.644 0.882 0.288
Au 0.356 0.118 0.712
Au 0.644 0.406 0.288
Au 0.356 0.594 0.712
Au 0.000 0.000 0.000
In 0.807 0.807 0.615
In 0.193 0.193 0.385
Sr 0.000 0.500 0.000
Zn 0.500 0.000 0.000



(8)
! SrZn2InAu2 PBE optimized geometry; values from VASP
! Total moment = 0.0 μB/f.u.
! Calculated volume = 22.2 A^3/atom
! Energy = -2.670 eV per atom
! Formation energy = -417 meV per atom
&SYSTEM
  ibrav = 0, nat = 6, ntyp = 4
/
ATOMIC_SPECIES
Au 196.97 Au.upf
In 114.82 In.upf
Zn 65.41 Zn.upf
Sr 87.62 Sr.upf
CELL_PARAMETERS angstrom
4.582 0.000 0.000
-2.291 3.968 0.000
0.000 0.000 7.322
ATOMIC_POSITIONS crystal
Au 0.333 0.667 0.294
Au 0.667 0.333 0.706
In 0.000 0.000 0.500
Zn 0.667 0.333 0.296
Zn 0.333 0.667 0.704
Sr 0.000 0.000 0.000